[1]
Material: EuThRu
Method: DFT, GGA-PBE
State: relaxed

```
data_EuThRu
_symmetry_space_group_name_H-M 'P 1'
_symmetry_Int_Tables_number 1
_cell_length_a 7.080
_cell_length_b 7.080
_cell_length_c 7.080
_cell_angle_alpha 150.90
_cell_angle_beta 150.90
_cell_angle_gamma 41.63
loop_
_symmetry_equiv_pos_as_xyz
'x,y,z'
loop_
_atom_site_label
_atom_site_type_symbol
_atom_site_fract_x
_atom_site_fract_y
_atom_site_fract_z
Eu1 Eu 0.000 0.000 0.000
Th1 Th 0.261 0.261 0.000
Ru1 Ru 0.657 0.657 0.000
```

Properties
Mass density   9614 kg/m³
Density of states at the Fermi level   8.1 states/eV/cell
VASP energy   -27.4 eV/cell
Symmetry   No. 107
E_form   -157.7 meV per atom
Magnetization   7.10 Bohr magnetons per cell

***

[2]
Material: Dy6In3Os
Method: DFT, GGA-PBE
State: relaxed

```
data_Dy6In3Os
_symmetry_space_group_name_H-M 'P 1'
_symmetry_Int_Tables_number 1
_cell_length_a 9.267
_cell_length_b 5.237
_cell_length_c 11.358
_cell_angle_alpha 90.00
_cell_angle_beta 107.49
_cell_angle_gamma 90.00
loop_
_symmetry_equiv_pos_as_xyz
'x,y,z'
loop_
_atom_site_label
_atom_site_type_symbol
_atom_site_fract_x
_atom_site_fract_y
_atom_site_fract_z
Dy1 Dy 0.043 0.250 0.416
Dy2 Dy 0.192 0.750 0.168
Dy3 Dy 0.285 0.250 0.005
Dy4 Dy 0.353 0.750 0.831
Dy5 Dy 0.376 0.250 0.344
Dy6 Dy 0.394 0.250 0.646
Dy7 Dy 0.606 0.750 0.354
Dy8 Dy 0.624 0.750 0.656
Dy9 Dy 0.647 0.250 0.169
Dy10 Dy 0.715 0.750 0.995
Dy11 Dy 0.808 0.250 0.832
Dy12 Dy 0.957 0.750 0.584
In1 In 0.013 0.750 0.881
In2 In 0.096 0.250 0.720
In3 In 0.275 0.750 0.476
In4 In 0.725 0.250 0.524
In5 In 0.904 0.750 0.280
In6 In 0.987 0.250 0.119
Os1 Os 0.461 0.750 0.095
Os2 Os 0.539 0.250 0.905
```

Properties
Mass density   9537 kg/m³
Density of states at the Fermi level   15.3 states/eV/cell
VASP energy   -101.0 eV/cell
Symmetry   No. 11
E_form   -343.1 meV per atom
Magnetization   0.00 Bohr magnetons per cell

***

[3]
Material: In12GaBi6
Method: DFT, GGA-PBE
State: relaxed

```
data_In12GaBi6
_symmetry_space_group_name_H-M 'P 1'
_symmetry_Int_Tables_number 1
_cell_length_a 8.278
_cell_length_b 8.278
_cell_length_c 8.278
_cell_angle_alpha 90.46
_cell_angle_beta 90.46
_cell_angle_gamma 90.46
loop_
_symmetry_equiv_pos_as_xyz
'x,y,z'
loop_
_atom_site_label
_atom_site_type_symbol
_atom_site_fract_x
_atom_site_fract_y
_atom_site_fract_z
In1 In 0.010 0.297 0.969
In2 In 0.031 0.990 0.703
In3 In 0.100 0.345 0.425
In4 In 0.297 0.969 0.010
In5 In 0.345 0.425 0.100
In6 In 0.425 0.100 0.345
In7 In 0.575 0.900 0.655
In8 In 0.655 0.575 0.900
In9 In 0.703 0.031 0.990
In10 In 0.900 0.655 0.575
In11 In 0.969 0.010 0.297
In12 In 0.990 0.703 0.031
Ga1 Ga 0.500 0.500 0.500
Bi1 Bi 0.227 0.710 0.352
Bi2 Bi 0.290 0.648 0.773
Bi3 Bi 0.352 0.227 0.710
Bi4 Bi 0.648 0.773 0.290
Bi5 Bi 0.710 0.352 0.227
Bi6 Bi 0.773 0.290 0.648
```

Properties
Mass density   7908 kg/m³
Density of states at the Fermi level   8.2 states/eV/cell
VASP energy   -57.9 eV/cell
Symmetry   No. 148
E_form   64.9 meV per atom
Magnetization   0.00 Bohr magnetons per cell

***

[4]
Material: LiAcCdHg3
Method: DFT, GGA-PBE
State: relaxed

```
data_LiAcCdHg3
_symmetry_space_group_name_H-M 'P 1'
_symmetry_Int_Tables_number 1
_cell_length_a 7.597
_cell_length_b 7.597
_cell_length_c 6.685
_cell_angle_alpha 90.00
_cell_angle_beta 90.00
_cell_angle_gamma 126.58
loop_
_symmetry_equiv_pos_as_xyz
'x,y,z'
loop_
_atom_site_label
_atom_site_type_symbol
_atom_site_fract_x
_atom_site_fract_y
_atom_site_fract_z
Li1 Li 0.060 0.940 0.750
Li2 Li 0.940 0.060 0.250
Ac1 Ac 0.302 0.698 0.750
Ac2 Ac 0.698 0.302 0.250
Cd1 Cd 0.354 0.646 0.250
Cd2 Cd 0.646 0.354 0.750
Hg1 Hg 0.144 0.856 0.250
Hg2 Hg 0.277 0.277 0.000
Hg3 Hg 0.277 0.277 0.500
Hg4 Hg 0.723 0.723 0.000
Hg5 Hg 0.723 0.723 0.500
Hg6 Hg 0.856 0.144 0.750
```

Properties
Mass density   10165 kg/m³
Density of states at the Fermi level   5.7 states/eV/cell
VASP energy   -18.3 eV/cell
Symmetry   No. 63
E_form   -218.9 meV per atom
Magnetization   0.00 Bohr magnetons per cell

***

Look up the mass density of the third one. 7908 kg/m³